1.
## TlW2Au (GGA-PBE)

Data for crystalline TlW2Au at its relaxed geometry.

abc: 5.4912 5.4912 2.8267
angles: 82.50 82.50 118.77
Atoms (fractional coordinates):
Au: 0.5000 0.0000 0.5000
Tl: 0.0000 0.5000 0.5000
W: 0.0000 0.0000 0.0000
W: 0.5000 0.5000 0.0000

Properties
- relative energy among the computed polymorphs (meV/atom) = 327
- calculated formation energy (meV per atom) = 835
- energy (eV/atom) = -7.052

***

2.
## NaGaPb (GGA-PBE)

Data for crystalline NaGaPb at its relaxed geometry.

abc: 6.2850 6.3948 6.2806
angles: 84.42 40.45 84.37
Atoms (fractional coordinates):
Pb: 0.1199 0.5861 0.9104
Pb: 0.5286 0.2339 0.3157
Na: 0.8247 0.4448 0.6127
Na: 0.2319 0.0369 0.0191
Ga: 0.9298 0.9427 0.7170
Ga: 0.4468 0.6955 0.2352

Properties
- calculated formation energy (meV per atom) = -63
- energy (eV/atom) = -2.748

***

3.
## FeRuBr2 (GGA-PBE)

Data for crystalline FeRuBr2 at its relaxed geometry.

abc: 5.7727 5.7727 6.7785
angles: 64.80 64.80 90.00
Site moments in Bohr magnetons follow the coordinates.
Atoms (fractional coordinates):
Ru: 0.0000 0.0000 0.0000  -0.74
Ru: 0.7500 0.2500 0.5000  -0.74
Fe: 0.5000 0.5000 0.0000  2.76
Fe: 0.2500 0.7500 0.5000  2.76
Br: 0.6139 0.1250 0.2500  0.02
Br: 0.1361 0.6250 0.2500  0.01
Br: 0.3750 0.3861 0.7500  0.01
Br: 0.8750 0.8639 0.7500  0.01

Properties
- relative energy among the computed polymorphs (meV/atom) = 576
- uncorrected formation energy (eV per atom) = 0.722
- energy (eV/atom) = -4.549

***

Number 1: size of the total moment 0.0 μB per formula unit. Number 2: size of the total moment 0.0 μB per formula unit. Number 3: size of the total moment 2.1 μB per formula unit.